# NaTl2Cu2

A relaxed structure of NaTl2Cu2 (PBE, Alexandria via LeMat-Bulk).

Summary:
* ΔE_f: 0.182 eV per atom
* crystal system: tetragonal
* excess energy over the best structure of this formula in the dataset: 64 meV per atom

a = 5.145 Å, b = 5.145 Å, c = 8.698 Å
α = 90.00°, β = 90.00°, γ = 90.00°
Atoms (fractional coordinates):
Na (0.000, 0.000, 0.000)
Na (0.500, 0.500, 0.500)
Tl (0.000, 0.500, 0.250)
Tl (0.000, 0.500, 0.750)
Tl (0.500, 0.000, 0.250)
Tl (0.500, 0.000, 0.750)
Cu (0.000, 0.000, 0.363)
Cu (0.000, 0.000, 0.637)
Cu (0.500, 0.500, 0.137)
Cu (0.500, 0.500, 0.863)

---

# Pr2ErHg

A relaxed structure of Pr2ErHg (PBE, Alexandria via LeMat-Bulk).

Summary:
* ΔE_f: -0.230 eV per atom
* crystal system: tetragonal
* excess energy over the best structure of this formula in the dataset: 0 meV per atom

a = 5.254 Å, b = 5.254 Å, c = 8.937 Å
α = 90.00°, β = 90.00°, γ = 90.00°
Atoms (fractional coordinates):
Pr (0.250, 0.250, 0.221)
Pr (0.250, 0.750, 0.500)
Pr (0.750, 0.250, 0.500)
Pr (0.750, 0.750, 0.779)
Er (0.250, 0.250, 0.787)
Er (0.750, 0.750, 0.213)
Hg (0.250, 0.750, 0.000)
Hg (0.750, 0.250, 0.000)

---

Question: Look up the excess energy over the best structure of this formula in the dataset of the second one.
Answer: 0 meV per atom

---

Question: Which value of excess energy over the best structure of this formula in the dataset does entry 1 give?
Answer: 64 meV per atom

---

Question: The lowest excess energy over the best structure of this formula in the dataset belongs to which entry?
Answer: Pr2ErHg

---

Question: Which value of excess energy over the best structure of this formula in the dataset does entry 2 give?
Answer: 0 meV per atom